Density functional theory data (PBE) for a relaxed ZnCdRh2Pb crystal.

Calculated total energy ... -3.621 eV per atom
Calculated formation energy ... 0.499 eV/atom
Calculated density ... 9.3 g cm⁻³

a b c (Å): 4.6967 4.6967 4.7737
angles (deg): 90.00 90.00 90.00
Space group P4/mmm (No. 123)
One atom of each set of equivalent atoms:
Zn1 0.0000 0.0000 0.0000 [1 per cell]
Cd1 0.0000 0.0000 0.5000 [1 per cell]
Rh1 0.0000 0.5000 0.0000 [2 per cell]
Pb1 0.5000 0.5000 0.5000 [1 per cell]

---

Density functional theory data (PBE) for a relaxed CdRuPb2 crystal.

Calculated total energy ... -4.160 eV per atom
Calculated formation energy ... 0.242 eV/atom
Calculated density ... 10.2 g cm⁻³

a b c (Å): 3.1828 4.7220 13.6211
angles (deg): 90.00 90.00 90.00
Space group Immm (No. 71)
One atom of each set of equivalent atoms:
Cd1 0.0000 0.0000 0.0000 [2 per cell]
Ru1 0.0000 0.0000 0.5000 [2 per cell]
Pb1 0.0000 0.5000 0.1703 [4 per cell]

---

Density functional theory data (PBE) for a relaxed Cd2RuPb crystal.

Calculated total energy ... -3.427 eV per atom
Calculated formation energy ... 0.277 eV/atom
Calculated density ... 10.0 g cm⁻³

a b c (Å): 9.9922 3.4600 6.0720
angles (deg): 90.00 122.62 90.00
Space group Cm (No. 8)
One atom of each set of equivalent atoms:
Cd1 0.0000 0.0000 0.0000 [2 per cell]
Cd2 0.2168 0.0000 0.7998 [2 per cell]
Ru1 0.0219 0.5000 0.3722 [2 per cell]
Pb1 0.3122 0.5000 0.3901 [2 per cell]

---

Density functional theory data (PBE) for a relaxed Cd2RuPb crystal.

Calculated total energy ... -3.396 eV per atom
Calculated formation energy ... 0.307 eV/atom
Calculated density ... 10.0 g cm⁻³

a b c (Å): 3.1355 3.1355 9.0108
angles (deg): 90.00 90.00 90.00
Space group P4/mmm (No. 123)
One atom of each set of equivalent atoms:
Cd1 0.0000 0.0000 0.1976 [2 per cell]
Ru1 0.5000 0.5000 0.0000 [1 per cell]
Pb1 0.5000 0.5000 0.5000 [1 per cell]

---

Which of these has the lowest calculated formation energy?
CdRuPb2

---

Which value of calculated total energy does entry 2 give?
-4.160 eV per atom

---

The lowest calculated density belongs to which entry?
ZnCdRh2Pb